# 1
The following is a GGA-PBE calculation of TcS2N2 after structural relaxation, from Alexandria.

Structure (POSCAR):
```
TcS2N2
1.0
3.8395 0.0000 0.0000
0.0000 3.8395 0.0000
0.0000 0.0000 3.7783
S Tc N
2 1 2
Direct
0.0000 0.5000 0.0000
0.5000 0.0000 0.0000
0.5000 0.5000 0.5000
0.0000 0.0000 0.0000
0.0000 0.0000 0.5000
```

Properties
Symmetry: P4/mmm, No. 123
Raw total energy: -26.68 eV per cell
Fermi-level density of states: 0.5298 states/eV per atom
Total magnetization: 0.00 μB/cell
Crystal system: tetragonal



# 2
The following is a GGA-PBE calculation of TcSN3 after structural relaxation, from Alexandria.

Structure (POSCAR):
```
TcSN3
1.0
3.5140 0.0000 0.0000
0.0000 3.5140 0.0000
0.0000 0.0000 3.5140
S Tc N
1 1 3
Direct
0.0000 0.0000 0.0000
0.5000 0.5000 0.5000
0.0000 0.5000 0.0000
0.0000 0.0000 0.5000
0.5000 0.0000 0.0000
```

Properties
Symmetry: Pm-3m, No. 221
Raw total energy: -30.41 eV per cell
Fermi-level density of states: 0.6038 states/eV per atom
Total magnetization: 0.46 μB/cell
Crystal system: cubic



- What is the raw total energy in the second record?
  -30.41 eV per cell



- Number 2 is which compound?
  TcSN3



- Which value of raw total energy does entry 1 give?
  -26.68 eV per cell



- Which of these has the highest raw total energy?
  TcS2N2